Nd2ScAs4Pd3 | PBE-GGA | optimized geometry

a = 4.3931 Å, b = 4.3931 Å, c = 10.6665 Å
α = 90.00°, β = 90.00°, γ = 90.00°
With the nearest neighbours (Å) after each atom.
Atoms (fractional coordinates):
Nd (0.0000, 0.5000, 0.2254)  8 As 3.26-3.41, 4 Pd 3.29
Nd (0.5000, 0.0000, 0.7746)  8 As 3.26-3.41, 4 Pd 3.29
Sc (0.0000, 0.0000, 0.5000)  4 As 2.68
As (0.0000, 0.0000, 0.0000)  4 Pd 2.56
As (0.0000, 0.5000, 0.6435)  3 Pd 2.48-2.68, 2 Sc 2.68
As (0.5000, 0.0000, 0.3565)  3 Pd 2.48-2.68, 2 Sc 2.68
As (0.5000, 0.5000, 0.0000)  4 Pd 2.56
Pd (0.0000, 0.5000, 0.8763)  5 As 2.48-2.56
Pd (0.5000, 0.0000, 0.1237)  5 As 2.48-2.56
Pd (0.5000, 0.5000, 0.5000)  4 As 2.68

Calculated values
Total magnetic moment (μB/f.u.): 0.000
DFT total energy (eV/atom): -5.9578
Space-group type: P-4m2
DOS(E_F) (states/eV/cell): 2.755
ΔH_f (0 K) (meV per atom): -953.4

***

NdSmAs2Pd5 | PBE-GGA | optimized geometry

a = 4.2642 Å, b = 4.2642 Å, c = 9.4365 Å
α = 90.00°, β = 90.00°, γ = 90.00°
With the nearest neighbours (Å) after each atom.
Atoms (fractional coordinates):
Nd (0.0000, 0.0000, 0.0000)  12 Pd 3.00-3.02
Sm (0.0000, 0.0000, 0.5000)  8 As 3.28, 8 Pd 3.37
As (0.5000, 0.5000, 0.3623)  4 Pd 2.50, 1 As 2.60
As (0.5000, 0.5000, 0.6377)  4 Pd 2.50, 1 As 2.60
Pd (0.0000, 0.5000, 0.2241)  2 As 2.50
Pd (0.0000, 0.5000, 0.7759)  2 As 2.50
Pd (0.5000, 0.0000, 0.2241)  2 As 2.50
Pd (0.5000, 0.0000, 0.7759)  2 As 2.50
Pd (0.5000, 0.5000, 0.0000)  8 Pd 3.00, 4 Nd 3.02

Calculated values
Total magnetic moment (μB/f.u.): 0.000
DFT total energy (eV/atom): -5.7899
Space-group type: P4/mmm
DOS(E_F) (states/eV/cell): 2.962
ΔH_f (0 K) (meV per atom): -817.6

***

SrNdAs2Pd5 | PBE-GGA | optimized geometry

a = 4.3906 Å, b = 4.3906 Å, c = 9.0618 Å
α = 90.00°, β = 90.00°, γ = 90.00°
With the nearest neighbours (Å) after each atom.
Atoms (fractional coordinates):
Sr (0.0000, 0.0000, 0.0000)  12 Pd 3.05-3.10
Nd (0.0000, 0.0000, 0.5000)  8 Pd 3.26, 8 As 3.35
As (0.5000, 0.5000, 0.3604)  4 Pd 2.48, 1 As 2.53
As (0.5000, 0.5000, 0.6395)  4 Pd 2.48, 1 As 2.53
Pd (0.0000, 0.5000, 0.2341)  2 As 2.48
Pd (0.0000, 0.5000, 0.7659)  2 As 2.48
Pd (0.5000, 0.0000, 0.2341)  2 As 2.48
Pd (0.5000, 0.0000, 0.7659)  2 As 2.48
Pd (0.5000, 0.5000, 0.0000)  8 Pd 3.05, 4 Sr 3.10, 2 As 3.27

Calculated values
Total magnetic moment (μB/f.u.): 0.000
DFT total energy (eV/atom): -5.3309
Space-group type: P4/mmm
DOS(E_F) (states/eV/cell): 4.066
ΔH_f (0 K) (meV per atom): -696.1